[1]
Na2NbAlH6 after structural relaxation. Source: OQMD via LeMat-Bulk, functional PBE-GGA.

Properties
theoretical density: 2.88 Mg/m³
raw total energy: -3.610 eV/atom

Cell and atoms, written as POSCAR:
```
Na2NbAlH6
1.0
-2.195 3.184 3.542
1.606 4.961 0.560
-3.031 4.020 -1.468
Al H Na Nb
1 6 2 1
direct
0.000 0.000 0.000
0.247 0.755 0.226
0.774 0.753 0.245
0.755 0.226 0.247
0.245 0.774 0.753
0.226 0.247 0.755
0.753 0.245 0.774
0.251 0.251 0.251
0.749 0.749 0.749
0.500 0.500 0.500
```



[2]
AlNi3H after structural relaxation. Source: OQMD via LeMat-Bulk, functional PBE-GGA.

Properties
theoretical density: 7.25 Mg/m³
raw total energy: -5.194 eV/atom

Cell and atoms, written as POSCAR:
```
AlNi3H
1.0
3.602 0.000 0.000
0.000 3.602 0.000
0.000 0.000 3.602
Al H Ni
1 1 3
direct
0.500 0.500 0.500
0.000 0.000 0.000
0.500 0.000 0.000
0.000 0.500 0.000
0.000 0.000 0.500
```



> Number 1 is which compound?

Na2NbAlH6



> Which of these has the lowest raw total energy?

AlNi3H



> Which formula does entry 1 have?

Na2NbAlH6



> Among the records above, which one has the lowest raw total energy?

AlNi3H